(1)
# GGA-PBE Na3Se2O8, optimized geometry
data_Na3Se2O8
_cell_length_a 7.031
_cell_length_b 11.802
_cell_length_c 9.249
_cell_angle_alpha 90.00
_cell_angle_beta 90.00
_cell_angle_gamma 90.00
_space_group_name_H-M_alt 'C m c e'
_space_group_IT_number 64
_space_group_name_Hall '-C 2ac 2'
loop_
_atom_site_label
_atom_site_fract_x
_atom_site_fract_y
_atom_site_fract_z
Na1 0.000 0.000 0.000
Na2 0.250 0.130 0.250
Se1 0.000 0.121 0.623
O1 0.000 0.015 0.744
O2 0.000 0.247 0.703
O3 0.196 0.113 0.520
# Uncorrected formation energy ... -1.073 eV/atom

(2)
# GGA-PBE CuNi, optimized geometry
data_CuNi
_cell_length_a 3.917
_cell_length_b 7.186
_cell_length_c 13.951
_cell_angle_alpha 90.00
_cell_angle_beta 90.00
_cell_angle_gamma 90.00
_space_group_name_H-M_alt 'F d d d'
_space_group_IT_number 70
loop_
_space_group_symop_operation_xyz
'x,y,z'
'-x,-y,-z'
'-x+1/4,-y+1/4,z'
'x+1/4,y+1/4,-z'
'x,-y+1/4,-z+1/4'
'-x,y+1/4,z+1/4'
'-x+1/4,y,-z+1/4'
'x+1/4,-y,z+1/4'
'x,y+1/2,z+1/2'
'-x,-y+1/2,-z+1/2'
'-x+1/4,-y+3/4,z+1/2'
'x+1/4,y+3/4,-z+1/2'
'x,-y+3/4,-z+3/4'
'-x,y+3/4,z+3/4'
'-x+1/4,y+1/2,-z+3/4'
'x+1/4,-y+1/2,z+3/4'
'x+1/2,y,z+1/2'
'-x+1/2,-y,-z+1/2'
'-x+3/4,-y+1/4,z+1/2'
'x+3/4,y+1/4,-z+1/2'
'x+1/2,-y+1/4,-z+3/4'
'-x+1/2,y+1/4,z+3/4'
'-x+3/4,y,-z+3/4'
'x+3/4,-y,z+3/4'
'x+1/2,y+1/2,z'
'-x+1/2,-y+1/2,-z'
'-x+3/4,-y+3/4,z'
'x+3/4,y+3/4,-z'
'x+1/2,-y+3/4,-z+1/4'
'-x+1/2,y+3/4,z+1/4'
'-x+3/4,y+1/2,-z+1/4'
'x+3/4,-y+1/2,z+1/4'
loop_
_atom_site_label
_atom_site_fract_x
_atom_site_fract_y
_atom_site_fract_z
Cu1 0.125 0.125 0.041
Ni1 0.125 0.289 0.625
# Formation enthalpy at 0 K ... 239 meV/atom